A relaxed Ca4Al5FeSi6H2O26 crystal, computed with GGA-PBEsol.

Lattice parameters (Å, degrees): 5.6198 8.9176 10.1057 115.36 90.00 90.00
Element x y z (fractional)
1 O 0.7555 0.7708 0.9624
2 O 0.5000 0.0401 0.1435
3 O 0.7627 0.7881 0.3429
4 O 0.0000 0.6231 0.0970
5 O 0.5000 0.3652 0.8999
6 O 0.7383 0.3003 0.3523
7 O 0.2373 0.7881 0.3429
8 O 0.0000 0.5105 0.3006
9 O 0.0000 0.0759 0.4213
10 O 0.5000 0.4774 0.6924
11 O 0.0000 0.9614 0.8572
12 O 0.5000 0.9542 0.8697
13 O 0.5000 0.0615 0.4032
14 O 0.0000 0.0582 0.1355
15 O 0.5000 0.5198 0.1826
16 O 0.0000 0.4859 0.8153
17 O 0.7408 0.2073 0.6566
18 O 0.5000 0.9219 0.5759
19 O 0.7674 0.6977 0.6416
20 O 0.0000 0.9393 0.5957
21 O 0.2617 0.3003 0.3523
22 O 0.2592 0.2073 0.6566
23 O 0.2501 0.2377 0.0490
24 O 0.2326 0.6977 0.6416
25 O 0.2445 0.7708 0.9624
26 O 0.7499 0.2377 0.0490
27 Fe 0.5000 0.7091 0.7738
28 H 0.5000 0.9485 0.6823
29 H 0.0000 0.0521 0.3153
30 Al 0.7504 0.0018 0.0020
31 Al 0.7508 0.9985 0.4985
32 Al 0.2496 0.0018 0.0020
33 Al 0.2492 0.9985 0.4985
34 Al 0.0000 0.2886 0.2246
35 Si 0.0000 0.8194 0.6823
36 Si 0.5000 0.3151 0.7236
37 Si 0.5000 0.1840 0.3173
38 Si 0.0000 0.6749 0.2739
39 Si 0.5000 0.3399 0.0523
40 Si 0.0000 0.6622 0.9517
41 Ca 0.0000 0.2485 0.8502
42 Ca 0.5000 0.6139 0.4261
43 Ca 0.5000 0.7600 0.1549
44 Ca 0.0000 0.3848 0.5710

Properties
As for the density of states at the Fermi level: 0.02 states/eV/cell. As for the total energy: -7.697 eV per atom. Its calculated volume is 457.6 Å³/cell.